## BaV2BO8 (PBE+U)

Data for BaV2BO8 after structural relaxation.

a = 5.2460 Å, b = 5.2460 Å, c = 7.1341 Å
α = 90.00°, β = 90.00°, γ = 120.00°
Last column: nearest neighbours and their distance in Å.
Element x y z (fractional)
1 Ba 0.0000 0.0000 0.0000  12 O 2.91-3.05
2 V 0.3333 0.6667 0.7092  4 O 1.70-1.75
3 V 0.6667 0.3333 0.2908  4 O 1.70-1.75
4 B 0.0000 0.0000 0.5000  6 O 1.68
5 O 0.1477 0.2982 0.6387  1 B 1.68, 1 V 1.75
6 O 0.1505 0.8523 0.6387  1 B 1.68, 1 V 1.75
7 O 0.2982 0.1505 0.3613  1 B 1.68, 1 V 1.75
8 O 0.3333 0.6667 0.9481  1 V 1.70
9 O 0.6667 0.3333 0.0519  1 V 1.70
10 O 0.7018 0.8495 0.6387  1 B 1.68, 1 V 1.75
11 O 0.8495 0.1477 0.3613  1 B 1.68, 1 V 1.75
12 O 0.8523 0.7018 0.3613  1 B 1.68, 1 V 1.75

## Properties
Density of states at the Fermi level, states/eV/f.u.: 7.51
Calculated total energy, eV/atom: -7.07